Li2TlAg | PBE | relaxed

Computed properties:
formation enthalpy at 0 K: -0.219 eV per atom
density: 7.6 Mg/m³

a b c (Å): 6.590 6.590 6.590
angles (deg): 90.00 90.00 90.00
Space group Fm-3m (No. 225)
One atom of each set of equivalent atoms:
Li 0.250 0.250 0.250
Tl 0.000 0.000 0.000
Ag 0.000 0.000 0.500